[1]
The following is a DFT calculation (PBE-GGA) of a relaxed structure of Na2PaAsO8. Values from VASP.

```
&SYSTEM
  ibrav = 0, nat = 12, ntyp = 4
/
ATOMIC_SPECIES
Na 22.99 Na.upf
Pa 231.04 Pa.upf
As 74.92 As.upf
O 16.00 O.upf
CELL_PARAMETERS angstrom
5.558 0.000 0.000
-2.779 4.814 0.000
0.000 0.000 5.827
ATOMIC_POSITIONS crystal
Na 0.333 0.667 0.435
Na 0.667 0.333 0.565
Pa 0.000 0.000 0.000
As 0.000 0.000 0.500
O 0.150 0.301 0.700
O 0.150 0.850 0.700
O 0.301 0.150 0.300
O 0.333 0.667 0.030
O 0.667 0.333 0.970
O 0.699 0.850 0.700
O 0.850 0.150 0.300
O 0.850 0.699 0.300
```

## Properties
space group = No. 164
V = 155.9 Å³/f.u.
ΔE_f (raw) = -1.2377 eV/atom



[2]
The following is a DFT calculation (PBE-GGA) of a relaxed structure of Tm4Mg. Values from VASP.

```
&SYSTEM
  ibrav = 0, nat = 10, ntyp = 2
/
ATOMIC_SPECIES
Tm 168.93 Tm.upf
Mg 24.30 Mg.upf
CELL_PARAMETERS angstrom
3.378 -8.732 0.000
3.378 8.732 0.000
-3.213 0.000 5.002
ATOMIC_POSITIONS crystal
Tm 0.046 0.473 0.759
Tm 0.084 0.255 0.115
Tm 0.255 0.084 0.615
Tm 0.473 0.046 0.259
Tm 0.527 0.954 0.741
Tm 0.745 0.916 0.385
Tm 0.916 0.745 0.885
Tm 0.954 0.527 0.241
Mg 0.442 0.558 0.750
Mg 0.558 0.442 0.250
```

## Properties
space group = No. 15
V = 147.5 Å³/f.u.
DFT formation energy = 145 meV per atom



[3]
The following is a DFT calculation (PBE-GGA) of a relaxed structure of DyTm2MgBi4. Values from VASP.

```
&SYSTEM
  ibrav = 0, nat = 8, ntyp = 4
/
ATOMIC_SPECIES
Dy 162.50 Dy.upf
Tm 168.93 Tm.upf
Mg 24.30 Mg.upf
Bi 208.98 Bi.upf
CELL_PARAMETERS angstrom
7.708 0.000 0.000
0.000 4.407 0.000
-2.606 0.000 7.288
ATOMIC_POSITIONS crystal
Dy 0.000 0.000 0.000
Tm 0.000 0.500 0.500
Tm 0.500 0.000 0.500
Mg 0.500 0.500 0.000
Bi 0.253 0.500 0.252
Bi 0.256 0.000 0.753
Bi 0.744 0.000 0.247
Bi 0.747 0.500 0.748
```

## Properties
space group = No. 10
V = 247.6 Å³/f.u.
DFT formation energy = -577 meV per atom